Run i
A relaxed La2RuBr crystal. Source: the Alexandria database, functional PBE.

Unit cell a=4.324 b=4.324 c=6.100 alpha=90.00 beta=90.00 gamma=90.01
Element x y z (fractional)
La  0.000  0.000  0.937
Ru  0.000  0.000  0.324
La  0.500  0.500  0.371
Br  0.500  0.500  0.868

Calculated values
mass density: 6.680 Mg/m³
symmetry: No. 99
DOS(E_F): 1.583 states/eV/f.u.



Run ii
A relaxed La2RuBr crystal. Source: the Alexandria database, functional PBE.

Unit cell a=5.394 b=5.394 c=5.395 alpha=130.85 beta=110.15 gamma=90.07
Element x y z (fractional)
La  0.976  0.976  0.000
Br  0.250  0.750  0.500
La  0.524  0.524  0.000
Ru  0.750  0.250  0.500

Calculated values
mass density: 7.212 Mg/m³
symmetry: No. 71
DOS(E_F): 1.915 states/eV/f.u.



Ordering by calculated energy gives the sequence run i, run ii, with the first entry being the most stable.



Run i
A relaxed As3C crystal. Source: the Alexandria database, functional PBE.

Unit cell a=2.998 b=7.054 c=7.773 alpha=90.00 beta=90.00 gamma=90.00
Element x y z (fractional)
As  0.500  0.624  0.000
C  0.000  0.443  0.000
As  0.500  0.771  0.329
As  0.000  0.229  0.829
As  0.500  0.771  0.671
As  0.000  0.229  0.171
C  0.500  0.557  0.500
As  0.000  0.376  0.500

Calculated values
mass density: 4.784 Mg/m³
symmetry: No. 59
DOS(E_F): 0.300 states/eV/f.u.



Run ii
A relaxed As3C crystal. Source: the Alexandria database, functional PBE.

Unit cell a=5.519 b=5.519 c=4.874 alpha=90.00 beta=90.00 gamma=102.15
Element x y z (fractional)
As  0.255  0.745  0.750
C  0.693  0.307  0.750
As  0.672  0.782  0.250
As  0.745  0.255  0.250
C  0.307  0.693  0.250
As  0.328  0.218  0.750
As  0.218  0.328  0.250
As  0.782  0.672  0.750

Calculated values
mass density: 5.418 Mg/m³
symmetry: No. 63
DOS(E_F): 1.141 states/eV/f.u.



Ordering by calculated energy gives the sequence run i, run ii, with the first entry being the most stable.



Run i
A relaxed CeTeSe crystal. Source: the Alexandria database, functional PBE.

Unit cell a=4.458 b=4.458 c=8.303 alpha=90.00 beta=90.00 gamma=90.00
Site moments in Bohr magnetons follow the coordinates.
Element x y z (fractional)
Te  0.000  0.500  0.869  -0.03
Se  0.000  0.000  0.500  -0.04
Te  0.500  0.000  0.131  -0.03
Ce  0.000  0.500  0.265  0.30
Se  0.500  0.500  0.500  -0.04
Ce  0.500  0.000  0.735  0.30

Calculated values
mass density: 6.977 Mg/m³
symmetry: No. 129
DOS(E_F): 3.308 states/eV/f.u.



Run ii
A relaxed CeTeSe crystal. Source: the Alexandria database, functional PBE.

Unit cell a=5.087 b=5.087 c=5.087 alpha=60.00 beta=60.00 gamma=60.00
Element x y z (fractional)
Se  0.500  0.500  0.500
Te  0.000  0.000  0.000
Ce  0.250  0.250  0.250

Calculated values
mass density: 6.184 Mg/m³
symmetry: No. 216



Ordering by calculated energy gives the sequence run i, run ii, with the first entry being the most stable.